1.
PrSm2Dy5Tm | PBE-GGA | relaxed

Cell lengths 8.803, 8.803, 15.229 Å; angles 90.00, 90.00, 90.00 degrees
Space group I4/mcm (No. 140)
One atom of each set of equivalent atoms:
Pr (0.000, 0.000, 0.250) [4 per cell]
Sm (0.115, 0.385, 0.000) [8 per cell]
Dy (0.000, 0.000, 0.000) [4 per cell]
Dy (0.208, 0.292, 0.364) [16 per cell]
Tm (0.000, 0.500, 0.250) [4 per cell]

M_tot ... 0.00 μB per atom
Formation energy from the elements ... 2.48 eV per formula unit
Density of states at the Fermi level ... 42.33 states/eV/cell

=====

2.
LiPd2Au | PBE-GGA | relaxed

Cell lengths 3.914, 3.914, 4.032 Å; angles 90.00, 90.00, 90.00 degrees
Space group P4/mmm (No. 123)
One atom of each set of equivalent atoms:
Li (0.000, 0.000, 0.000) [1 per cell]
Pd (0.000, 0.500, 0.500) [2 per cell]
Au (0.500, 0.500, 0.000) [1 per cell]

M_tot ... 0.00 μB per atom
Formation energy from the elements ... -1.34 eV per formula unit
Density of states at the Fermi level ... 3.13 states/eV/cell

=====

3.
Fe2NiGeP | PBE-GGA | relaxed

Cell lengths 4.133, 4.133, 4.675 Å; angles 90.00, 90.00, 90.00 degrees
Space group P4/mmm (No. 123)
One atom of each set of equivalent atoms:
Fe (0.000, 0.500, 0.000) [2 per cell]
Ni (0.000, 0.000, 0.500) [1 per cell]
Ge (0.500, 0.500, 0.500) [1 per cell]
P (0.500, 0.500, 0.000) [1 per cell]

M_tot ... 0.98 μB per atom
Formation energy from the elements ... 3.55 eV per formula unit
Density of states at the Fermi level ... 6.42 states/eV/cell

=====

4.
LaPmMgPt | PBE-GGA | relaxed

Cell lengths 7.473, 7.473, 7.473 Å; angles 90.00, 90.00, 90.00 degrees
Space group F-43m (No. 216)
One atom of each set of equivalent atoms:
La (0.000, 0.000, 0.000) [4 per cell]
Pm (0.000, 0.000, 0.500) [4 per cell]
Mg (0.250, 0.250, 0.750) [4 per cell]
Pt (0.250, 0.250, 0.250) [4 per cell]

M_tot ... 0.00 μB per atom
Formation energy from the elements ... -1.98 eV per formula unit
Density of states at the Fermi level ... 15.60 states/eV/cell

=====

5.
LiZn2Au4 | PBE-GGA | relaxed

Cell lengths 7.753, 10.018, 13.143 Å; angles 90.00, 90.00, 90.00 degrees
Space group F222 (No. 22)
One atom of each set of equivalent atoms:
Li (0.000, 0.000, 0.000) [4 per cell]
Li (0.250, 0.250, 0.250) [4 per cell]
Zn (0.125, 0.125, 0.625) [16 per cell]
Au (0.037, 0.135, 0.821) [16 per cell]
Au (0.212, 0.116, 0.429) [16 per cell]

M_tot ... 0.00 μB per atom
Formation energy from the elements ... -1.35 eV per formula unit
Density of states at the Fermi level ... 9.13 states/eV/cell

=====

6.
FeMoCl | PBE-GGA | relaxed

Cell lengths 3.0177, 3.0177, 5.9582 Å; angles 90.00, 90.00, 120.00 degrees
Space group P3m1 (No. 156)
One atom of each set of equivalent atoms:
Fe (0.0000, 0.0000, 0.0000) [1 per cell]
Mo (0.6667, 0.3333, 0.2924) [1 per cell]
Cl (0.3333, 0.6667, 0.6319) [1 per cell]

Uncorrected formation energy ... 274 meV/atom
M_tot ... 0.73 μB per atom
Density of states at the Fermi level ... 2.20 states/eV/cell

=====

> Which formula does entry 1 have?

PrSm2Dy5Tm